DFT (PBE-GGA) results for a relaxed structure of Dy4PaN4.

a = 4.9515 Å, b = 6.0298 Å, c = 6.0299 Å
α = 80.30°, β = 65.76°, γ = 65.76°
With the nearest neighbours (Å) after each atom.
Positions (direct):
Dy: 0.6034 0.5875 0.2056  5 N 2.36-2.59
Dy: 0.3966 0.4125 0.7944  5 N 2.36-2.59
Dy: 0.1910 0.2055 0.4125  5 N 2.36-2.59
Dy: 0.8090 0.7945 0.5875  5 N 2.36-2.59
Pa: 0.0000 0.0000 0.0000  4 N 2.33
N: 0.9079 0.3778 0.8064  1 Pa 2.33, 5 Dy 2.36-2.59
N: 0.0921 0.6222 0.1936  1 Pa 2.33, 5 Dy 2.36-2.59
N: 0.2857 0.8065 0.6221  1 Pa 2.33, 5 Dy 2.36-2.59
N: 0.7143 0.1935 0.3779  1 Pa 2.33, 5 Dy 2.36-2.59

DOS at the Fermi energy: 5.3 states/eV/f.u.
raw total energy: -8.24 eV/atom
ΔE_f (raw): -138.5 kJ per mole of atoms